Version A
A plane-wave DFT calculation with GGA-PBE was carried out for a relaxed GaGePd6 crystal.

V = 129.7 Å³/cell
Space group = P-1
Magnetic moment = 0.000 μB/f.u.

abc: 5.2639 5.2826 5.2946
angles: 71.90 72.21 72.32
Closest atoms and distances in Å follow each position.
Fractional positions:
Ga1 0.0000 0.0000 0.0000  6 Pd 2.51-2.52
Ge1 0.5000 0.5000 0.5000  6 Pd 2.48
Pd1 0.0197 0.7482 0.4840  1 Ge 2.48, 1 Ga 2.51, 2 Pd 2.64-2.66
Pd2 0.2527 0.5154 0.9771  1 Ge 2.48, 1 Ga 2.52, 2 Pd 2.64-2.65
Pd3 0.4875 0.0184 0.7475  1 Ge 2.48, 1 Ga 2.52, 2 Pd 2.65-2.66
Pd4 0.5125 0.9816 0.2525  1 Ge 2.48, 1 Ga 2.52, 2 Pd 2.65-2.66
Pd5 0.7473 0.4846 0.0229  1 Ge 2.48, 1 Ga 2.52, 2 Pd 2.64-2.65
Pd6 0.9803 0.2518 0.5160  1 Ge 2.48, 1 Ga 2.51, 2 Pd 2.64-2.66

Version B
A plane-wave DFT calculation with GGA-PBE was carried out for a relaxed GaGePd6 crystal.

V = 121.4 Å³/cell
Space group = Fmmm
Magnetic moment = 0.000 μB/f.u.

abc: 7.3442 7.3387 4.2574
angles: 73.22 73.07 33.71
Closest atoms and distances in Å follow each position.
Fractional positions:
Ga1 0.0000 0.0000 0.0000  8 Pd 2.60
Ge1 0.5000 0.5000 0.5000  8 Pd 2.60
Pd1 0.1115 0.1115 0.3885  2 Ga 2.60, 2 Ge 2.60, 4 Pd 2.82-2.83
Pd2 0.2505 0.2505 0.7495  12 Pd 2.82-3.02
Pd3 0.3885 0.3885 0.1115  2 Ge 2.60, 2 Ga 2.60, 4 Pd 2.82-2.83
Pd4 0.6115 0.6115 0.8885  2 Ga 2.60, 2 Ge 2.60, 4 Pd 2.82-2.83
Pd5 0.7495 0.7495 0.2505  12 Pd 2.82-3.02
Pd6 0.8885 0.8885 0.6115  2 Ge 2.60, 2 Ga 2.60, 4 Pd 2.82-2.83

version B comes first in stability; the runner-up is 79 meV per atom higher.